YHoB2Pt2N2: optimized geometry, PBE-GGA.

Lattice parameters (Å, degrees): 3.7373 3.7373 7.5614 90.00 90.00 90.00
Last column: nearest neighbours and their distance in Å.
Space group P4mm (No. 99)
Symmetry-distinct sites (fractional):
Y 0.0000 0.0000 0.0000 x1  1 N 2.27
Ho 0.5000 0.5000 0.3249 x1  1 N 2.27
B 0.0000 0.0000 0.4912 x1  1 N 1.44
B 0.5000 0.5000 0.8348 x1  1 N 1.44
Pt 0.0000 0.5000 0.6620 x2  4 B 2.27-2.28
N 0.0000 0.0000 0.3007 x1  1 B 1.44
N 0.5000 0.5000 0.0252 x1  1 B 1.44

Output
Electronic total energy (eV/atom): -7.79
Density (g/cm3): 10.9